Compound: NbTcPd
Source: the Open Quantum Materials Database
Functional: PBE-GGA
Structure: optimized geometry

Values from the calculation:
The formation energy from the elements comes out at 1.596 eV per formula unit. The magnetic moment is 0.00 μB/f.u. As for the crystal system: cubic. Its energy above the most stable polymorph in this dataset is 0.0 meV/atom. The total energy is -24.034 eV for the cell shown.

abc: 4.2919 4.2919 4.2919
angles: 60.00 60.00 60.00
Last column: nearest neighbours and their distance in Å.
Positions (direct):
Nb 0.0000 0.0000 0.0000  4 Tc 2.63, 4 Pd 2.63
Tc 0.2500 0.2500 0.2500  4 Nb 2.63
Pd 0.7500 0.7500 0.7500  4 Nb 2.63